Entry from the Alexandria database: a relaxed CuPt2 crystal (PBE).

The space group is P4/mmm (No. 123) and the conventional cell measures 4.0071, 4.0071 and 3.0607 Å, with angles of 90.00, 90.00 and 90.00 degrees. The distinct sites, in fractional coordinates, are Cu at (0.0000, 0.0000, 0.0000) and Pt at (0.0000, 0.5000, 0.5000).

The calculation puts the total energy at -5.13 eV per atom. Its crystal system is tetragonal. As for the energy of formation: 266 meV per atom.

Entry from the Alexandria database: a relaxed Cu3Pt4 crystal (PBE).

The space group is R-3 (No. 148, hexagonal axes) and the conventional cell measures 11.3970, 11.3970 and 5.2990 Å, with angles of 90.00, 90.00 and 120.00 degrees. The distinct sites, in fractional coordinates, are Cu at (0.0489, 0.2373, 0.1779), Pt at (0.0000, 0.0000, 0.0000), Pt at (0.0000, 0.0000, 0.5000) and Pt at (0.0498, 0.2440, 0.6772).

The calculation puts the total energy at -5.28 eV per atom. Its crystal system is trigonal. As for the energy of formation: -76 meV per atom.

Entry from the Alexandria database: a relaxed CuPt2 crystal (PBE).

The space group is Fd-3m (No. 227, origin choice 2) and the conventional cell measures 7.3653, 7.3653 and 7.3653 Å, with angles of 90.00, 90.00 and 90.00 degrees. The distinct sites, in fractional coordinates, are Cu at (0.1250, 0.1250, 0.1250) and Pt at (0.0000, 0.0000, 0.5000).

The calculation puts the total energy at -5.21 eV per atom. Its crystal system is cubic. As for the energy of formation: 179 meV per atom.

Entry from the Alexandria database: a relaxed Cu5Pt7 crystal (PBE).

The space group is C2/m (No. 12) and the conventional cell measures 4.7090, 8.2062 and 9.0472 Å, with angles of 90.00, 100.23 and 90.00 degrees. The distinct sites, in fractional coordinates, are Cu at (0.0000, 0.0000, 0.0000), Cu at (0.0000, 0.1648, 0.5000), Cu at (0.2477, 0.0000, 0.7459), Pt at (0.0000, 0.3356, 0.0000), Pt at (0.0000, 0.5000, 0.5000) and Pt at (0.2468, 0.1663, 0.2545).

The calculation puts the total energy at -5.34 eV per atom. Its crystal system is monoclinic. As for the energy of formation: -109 meV per atom. Its distance to the lowest polymorph of the same formula is 24 meV per atom.

Entry from the Alexandria database: a relaxed CuPt2 crystal (PBE).

The space group is I4/mcm (No. 140) and the conventional cell measures 6.1702, 6.1702 and 4.6445 Å, with angles of 90.00, 90.00 and 90.00 degrees. The distinct sites, in fractional coordinates, are Cu at (0.0000, 0.0000, 0.2500) and Pt at (0.1525, 0.3475, 0.0000).

The calculation puts the total energy at -5.32 eV per atom. Its crystal system is tetragonal. As for the energy of formation: 69 meV per atom.

Entry from the Alexandria database: a relaxed Cu8Pt3 crystal (PBE).

The space group is R-3 (No. 148, hexagonal axes) and the conventional cell measures 8.1646, 8.1646 and 8.7344 Å, with angles of 90.00, 90.00 and 120.00 degrees. The distinct sites, in fractional coordinates, are Cu at (0.0000, 0.0000, 0.1380), Cu at (0.0336, 0.8307, 0.3932) and Pt at (0.0000, 0.5000, 0.5000).

The calculation puts the total energy at -4.19 eV per atom. Its crystal system is trigonal. As for the energy of formation: 437 meV per atom. Its distance to the lowest polymorph of the same formula is 571 meV per atom.

Entry from the Alexandria database: a relaxed Cu3Pt7 crystal (PBE).

The space group is C2/m (No. 12) and the conventional cell measures 14.0304, 3.8620 and 5.5401 Å, with angles of 90.00, 101.78 and 90.00 degrees. The distinct sites, in fractional coordinates, are Cu at (0.0000, 0.0000, 0.0000), Cu at (0.2014, 0.0000, 0.5964), Pt at (0.0000, 0.0000, 0.5000), Pt at (0.0995, 0.5000, 0.7985), Pt at (0.1024, 0.5000, 0.2998) and Pt at (0.2004, 0.0000, 0.1022).

The calculation puts the total energy at -5.58 eV per atom. Its crystal system is monoclinic. As for the energy of formation: -118 meV per atom. Its distance to the lowest polymorph of the same formula is 0 meV per atom.

Entry from the Alexandria database: a relaxed Cu5Pt3 crystal (PBE).

The space group is P4/mmm (No. 123) and the conventional cell measures 2.7448, 2.7448 and 14.2566 Å, with angles of 90.00, 90.00 and 90.00 degrees. The distinct sites, in fractional coordinates, are Cu at (0.0000, 0.0000, 0.0000), Cu at (0.0000, 0.0000, 0.2272), Cu at (0.5000, 0.5000, 0.1137), Pt at (0.0000, 0.0000, 0.5000) and Pt at (0.5000, 0.5000, 0.3545).

The calculation puts the total energy at -4.87 eV per atom. Its crystal system is tetragonal. As for the energy of formation: -48 meV per atom. Its distance to the lowest polymorph of the same formula is 93 meV per atom.